Crystalline FePbO2F at its relaxed geometry. Source: Alexandria via LeMat-Bulk, functional PBE+U.

a b c (Å): 4.0061 4.0061 3.9833
angles (deg): 90.00 90.00 90.00
Last column: nearest neighbours and their distance in Å.
Atoms (fractional coordinates):
Fe (0.0000, 0.0000, 0.0000)  2 F 1.99, 4 O 2.00
Pb (0.5000, 0.5000, 0.5000)  8 O 2.82, 4 F 2.83
O (0.0000, 0.5000, 0.0000)  2 Fe 2.00
O (0.5000, 0.0000, 0.0000)  2 Fe 2.00
F (0.0000, 0.0000, 0.5000)  2 Fe 1.99

Calculated values
Total DFT energy (no corrections), eV/atom: -5.738
Symmetry: P4/mmm (123)